Zr2W2F: optimized geometry, PBE+U.

Properties
- distance to the lowest polymorph of the same formula (kJ/mol of atoms) = 51.3
- volume (Å³/f.u.) = 122
- space group = I4/mmm, No. 139

abc: 4.0113 4.0113 8.0731
angles: 75.62 75.62 90.00
Site moments in Bohr magnetons follow the coordinates.
Positions (direct):
W: 0.3994 0.3994 0.2012  3.21
Zr: 0.7500 0.2500 0.5000  -0.30
Zr: 0.2500 0.7500 0.5000  -0.30
F: 0.0000 0.0000 0.0000  0.03
W: 0.6006 0.6006 0.7988  3.21